(1)
MgTa2Cl after structural relaxation. Source: Alexandria, functional PBEsol.

As for the uncorrected formation energy: 25 kJ per mole of atoms.

The space group is Cm (No. 8) and the conventional cell measures 9.9462, 2.9004 and 5.3963 Å, with angles of 90.00, 112.56 and 90.00 degrees. The asymmetric unit holds Mg at (0.0000, 0.0000, 0.0000), Ta at (0.1851, 0.0000, 0.6317), Ta at (0.4177, 0.0000, 0.4638) and Cl at (0.2492, 0.5000, 0.0565).

---

(2)
Mg2BAu after structural relaxation. Source: Alexandria, functional PBEsol.

The value obtained for the energy of formation from the pure elements is 0.12 eV per atom.

The space group is I-42d (No. 122) and the conventional cell measures 8.8766, 8.8766 and 4.1689 Å, with angles of 90.00, 90.00 and 90.00 degrees. The asymmetric unit holds Mg at (0.0556, 0.2500, 0.1250), B at (0.0000, 0.0000, 0.0000) and Au at (0.0000, 0.0000, 0.5000).

---

(3)
CaTe2Br after structural relaxation. Source: Alexandria, functional PBEsol.

As for the uncorrected formation energy: -95 kJ per mole of atoms.

The space group is P4/mmm (No. 123) and the conventional cell measures 4.2969, 4.2969 and 6.1315 Å, with angles of 90.00, 90.00 and 90.00 degrees. The asymmetric unit holds Ca at (0.0000, 0.0000, 0.0000), Te at (0.0000, 0.5000, 0.5000) and Br at (0.5000, 0.5000, 0.0000).

---

(4)
ReW2 after structural relaxation. Source: Alexandria, functional PBEsol.

The value obtained for the energy of formation from the pure elements is 0.09 eV per atom.

The space group is Fmmm (No. 69) and the conventional cell measures 3.1298, 4.4316 and 13.2546 Å, with angles of 90.00, 90.00 and 90.00 degrees. The asymmetric unit holds Re at (0.0000, 0.0000, 0.0000) and W at (0.0000, 0.0000, 0.3341).

---

(5)
SrPb2Se after structural relaxation. Source: Alexandria, functional PBEsol.

As for the uncorrected formation energy: -64 kJ per mole of atoms.

The space group is P4mm (No. 99) and the conventional cell measures 3.7568, 3.7568 and 8.3499 Å, with angles of 90.00, 90.00 and 90.00 degrees. The asymmetric unit holds Sr at (0.0000, 0.0000, 0.0000), Pb at (0.0000, 0.0000, 0.5708), Pb at (0.5000, 0.5000, 0.3230) and Se at (0.5000, 0.5000, 0.8289).

---

(6)
SrBr2O6 after structural relaxation. Source: Alexandria, functional PBEsol.

As for the uncorrected formation energy: -67 kJ per mole of atoms.

The space group is Cc (No. 9) and the conventional cell measures 7.5524, 11.7313 and 7.3801 Å, with angles of 90.00, 120.05 and 90.00 degrees. The asymmetric unit holds Sr at (0.0000, 0.1240, 0.0000), Br at (0.0326, 0.4366, 0.9704), Br at (0.0934, 0.1853, 0.5461), O at (0.0229, 0.0811, 0.3665), O at (0.1513, 0.1118, 0.7621), O at (0.1638, 0.4641, 0.4252), O at (0.2043, 0.3322, 0.1023), O at (0.3234, 0.2224, 0.5854) and O at (0.3887, 0.1244, 0.2357).

---

(7)
BeCdC3 after structural relaxation. Source: Alexandria, functional PBEsol.

The value obtained for the energy of formation from the pure elements is 3.68 eV per atom.

The space group is Pm-3m (No. 221) and the conventional cell measures 4.2033, 4.2033 and 4.2033 Å, with angles of 90.00, 90.00 and 90.00 degrees. The asymmetric unit holds Be at (0.0000, 0.0000, 0.0000), Cd at (0.5000, 0.5000, 0.5000) and C at (0.0000, 0.5000, 0.5000).

---

(8)
AgSbI2Br after structural relaxation. Source: Alexandria, functional PBEsol.

As for the uncorrected formation energy: 32 kJ per mole of atoms.

The space group is P4/mmm (No. 123) and the conventional cell measures 5.4070, 5.4070 and 5.4865 Å, with angles of 90.00, 90.00 and 90.00 degrees. The asymmetric unit holds Ag at (0.0000, 0.0000, 0.0000), Sb at (0.0000, 0.0000, 0.5000), I at (0.0000, 0.5000, 0.0000) and Br at (0.5000, 0.5000, 0.5000).

---

(9)
CaAg2Pb after structural relaxation. Source: Alexandria, functional PBEsol.

The value obtained for the energy of formation from the pure elements is -0.15 eV per atom.

The space group is P4mm (No. 99) and the conventional cell measures 3.5796, 3.5796 and 7.1034 Å, with angles of 90.00, 90.00 and 90.00 degrees. The asymmetric unit holds Ca at (0.0000, 0.0000, 0.0000), Ag at (0.0000, 0.0000, 0.5562), Ag at (0.5000, 0.5000, 0.7411) and Pb at (0.5000, 0.5000, 0.3181).

---

(10)
Sn3HF after structural relaxation. Source: Alexandria, functional PBEsol.

The electronic total energy is -16.806 eV/cell.

The space group is Pm-3m (No. 221) and the conventional cell measures 4.8564, 4.8564 and 4.8564 Å, with angles of 90.00, 90.00 and 90.00 degrees. The asymmetric unit holds Sn at (0.0000, 0.0000, 0.5000), H at (0.5000, 0.5000, 0.5000) and F at (0.0000, 0.0000, 0.0000).

---

(11)
Mn2RuPb after structural relaxation. Source: Alexandria, functional PBEsol.

The value obtained for the energy of formation from the pure elements is 0.42 eV per atom.

The space group is F-43m (No. 216) and the conventional cell measures 6.2115, 6.2115 and 6.2115 Å, with angles of 90.00, 90.00 and 90.00 degrees. The asymmetric unit holds Mn at (0.0000, 0.0000, 0.0000), Mn at (0.2500, 0.2500, 0.2500), Ru at (0.2500, 0.2500, 0.7500) and Pb at (0.0000, 0.0000, 0.5000).

---

(12)
HgRu after structural relaxation. Source: Alexandria, functional PBEsol.

The value obtained for the energy of formation from the pure elements is 1.27 eV per atom.

The space group is Fm-3m (No. 225) and the conventional cell measures 5.3621, 5.3621 and 5.3621 Å, with angles of 90.00, 90.00 and 90.00 degrees. The asymmetric unit holds Hg at (0.0000, 0.0000, 0.0000) and Ru at (0.0000, 0.0000, 0.5000).

---

(13)
Sr7Ag3 after structural relaxation. Source: Alexandria, functional PBEsol.

The value obtained for the energy of formation from the pure elements is -0.17 eV per atom.

The space group is P6_3mc (No. 186) and the conventional cell measures 11.1381, 11.1381 and 7.0986 Å, with angles of 90.00, 90.00 and 120.00 degrees. The asymmetric unit holds Sr at (0.0825, 0.5413, 0.0000), Sr at (0.1249, 0.2498, 0.6987), Sr at (0.3333, 0.6667, 0.4909) and Ag at (0.1888, 0.3776, 0.2721).

---

(14)
CuHg2MoSe after structural relaxation. Source: Alexandria, functional PBEsol.

As for the uncorrected formation energy: 125 kJ per mole of atoms.

The space group is P4/mmm (No. 123) and the conventional cell measures 5.1759, 5.1759 and 4.6501 Å, with angles of 90.00, 90.00 and 90.00 degrees. The asymmetric unit holds Cu at (0.0000, 0.0000, 0.0000), Hg at (0.0000, 0.5000, 0.5000), Mo at (0.5000, 0.5000, 0.0000) and Se at (0.5000, 0.5000, 0.5000).

---

(15)
GaCo2AsC after structural relaxation. Source: Alexandria, functional PBEsol.

The value obtained for the energy of formation from the pure elements is 1.35 eV per atom.

The space group is P4/mmm (No. 123) and the conventional cell measures 4.3222, 4.3222 and 3.8073 Å, with angles of 90.00, 90.00 and 90.00 degrees. The asymmetric unit holds Ga at (0.0000, 0.0000, 0.0000), Co at (0.0000, 0.5000, 0.5000), As at (0.5000, 0.5000, 0.5000) and C at (0.5000, 0.5000, 0.0000).

---

(16)
Ca3GeF after structural relaxation. Source: Alexandria, functional PBEsol.

As for the uncorrected formation energy: -124 kJ per mole of atoms.

The space group is Pm-3m (No. 221) and the conventional cell measures 4.7465, 4.7465 and 4.7465 Å, with angles of 90.00, 90.00 and 90.00 degrees. The asymmetric unit holds Ca at (0.0000, 0.0000, 0.5000), Ge at (0.5000, 0.5000, 0.5000) and F at (0.0000, 0.0000, 0.0000).

---

(17)
LaFe2TcPd after structural relaxation. Source: Alexandria, functional PBEsol.

The value obtained for the energy of formation from the pure elements is 1.83 eV per atom.

The space group is P4/mmm (No. 123) and the conventional cell measures 4.3914, 4.3914 and 4.6386 Å, with angles of 90.00, 90.00 and 90.00 degrees. The asymmetric unit holds La at (0.0000, 0.0000, 0.0000), Fe at (0.0000, 0.5000, 0.0000), Tc at (0.0000, 0.0000, 0.5000) and Pd at (0.5000, 0.5000, 0.5000).

---

(18)
Nb3TlW after structural relaxation. Source: Alexandria, functional PBEsol.

The value obtained for the energy of formation from the pure elements is 2.67 eV per atom.

The space group is Pm-3m (No. 221) and the conventional cell measures 4.9270, 4.9270 and 4.9270 Å, with angles of 90.00, 90.00 and 90.00 degrees. The asymmetric unit holds Nb at (0.0000, 0.0000, 0.5000), Tl at (0.0000, 0.0000, 0.0000) and W at (0.5000, 0.5000, 0.5000).

---

(19)
Sr2CaBi2 after structural relaxation. Source: Alexandria, functional PBEsol.

The value obtained for the energy of formation from the pure elements is -0.82 eV per atom.

The space group is P4/mbm (No. 127) and the conventional cell measures 8.8901, 8.8901 and 4.5189 Å, with angles of 90.00, 90.00 and 90.00 degrees. The asymmetric unit holds Sr at (0.1395, 0.3605, 0.0000), Ca at (0.0000, 0.0000, 0.5000) and Bi at (0.1665, 0.6665, 0.5000).

---

(20)
HfCdBr3 after structural relaxation. Source: Alexandria, functional PBEsol.

As for the uncorrected formation energy: -61 kJ per mole of atoms.

The space group is Pm-3m (No. 221) and the conventional cell measures 5.2173, 5.2173 and 5.2173 Å, with angles of 90.00, 90.00 and 90.00 degrees. The asymmetric unit holds Hf at (0.0000, 0.0000, 0.0000), Cd at (0.5000, 0.5000, 0.5000) and Br at (0.0000, 0.0000, 0.5000).

---

(21)
V2Si2O7 after structural relaxation. Source: Alexandria, functional PBEsol.

As for the uncorrected formation energy: -238 kJ per mole of atoms.

The space group is Fd-3m (No. 227, origin choice 2) and the conventional cell measures 9.1069, 9.1069 and 9.1069 Å, with angles of 90.00, 90.00 and 90.00 degrees. The asymmetric unit holds V at (0.0000, 0.0000, 0.0000), Si at (0.0000, 0.0000, 0.5000), O at (0.0787, 0.3750, 0.8750) and O at (0.1250, 0.1250, 0.1250).

---

(22)
CsGdZnTe3 after structural relaxation. Source: Alexandria, functional PBEsol.

As for the uncorrected formation energy: -105 kJ per mole of atoms.

The space group is Cmcm (No. 63) and the conventional cell measures 4.3680, 16.7687 and 11.5682 Å, with angles of 90.00, 90.00 and 90.00 degrees. The asymmetric unit holds Cs at (0.0000, 0.2464, 0.2500), Gd at (0.0000, 0.5000, 0.0000), Zn at (0.0000, 0.0364, 0.7500), Te at (0.0000, 0.1224, 0.5597) and Te at (0.0000, 0.4386, 0.7500).

---

(23)
B2PtCl after structural relaxation. Source: Alexandria, functional PBEsol.

As for the uncorrected formation energy: 166 kJ per mole of atoms.

The space group is Fm-3m (No. 225) and the conventional cell measures 5.7251, 5.7251 and 5.7251 Å, with angles of 90.00, 90.00 and 90.00 degrees. The asymmetric unit holds B at (0.2500, 0.2500, 0.2500), Pt at (0.0000, 0.0000, 0.0000) and Cl at (0.0000, 0.0000, 0.5000).

---

no.,size of the total moment (μB/f.u.)
1,0.00
2,0.00
3,0.00
4,0.00
5,0.00
6,0.00
7,0.00
8,0.00
9,0.00
10,0.00
11,1.39
12,1.46
13,0.00
14,1.64
15,0.47
16,0.00
17,4.34
18,0.00
19,0.00
20,0.00
21,4.00
22,7.00
23,0.00